<1>
The following is a DFT calculation (PBE) of crystalline Pm3Co2Ge4 at its relaxed geometry.

It has space group C2/m (No. 12), with a = 11.062 Å, b = 4.136 Å, c = 8.312 Å, α = 90.00°, β = 101.11° and γ = 90.00°. The asymmetric unit holds Pm at (0.000, 0.000, 0.000), Pm at (0.161, 0.500, 0.657), Co at (0.104, 0.500, 0.277), Ge at (0.061, 0.000, 0.377) and Ge at (0.222, 0.500, 0.077).

<2>
The following is a DFT calculation (PBE) of crystalline Pm3Co2Ge4 at its relaxed geometry.

It has space group C2/m (No. 12), with a = 11.035 Å, b = 4.195 Å, c = 8.186 Å, α = 90.00°, β = 107.91° and γ = 90.00°. The asymmetric unit holds Pm at (0.000, 0.000, 0.000), Pm at (0.118, 0.500, 0.691), Co at (0.196, 0.500, 0.372), Ge at (0.106, 0.000, 0.398) and Ge at (0.212, 0.500, 0.082).

Most stable structure: <2>